VASP calculation (GGA+U) on a relaxed structure of RbCuNi2F8.

```
RbCuNi2F8
1.0
4.771 0.000 0.000
0.445 4.783 0.000
0.020 0.837 8.262
Rb Cu Ni F
1 1 2 8
Cartesian
0.000 0.000 0.000
0.010 0.419 4.131
2.565 2.787 5.589
2.672 2.833 2.672
1.200 4.164 2.771
1.198 4.229 5.579
1.702 1.826 4.075
2.180 2.216 7.311
3.056 3.404 0.950
3.534 3.794 4.186
4.039 1.391 2.683
4.036 1.456 5.491
```

Total moment (Bohr magnetons per cell): 4.02
Final energy (eV/atom): -4.0152
Density of states at the Fermi level (states/eV per atom): 0.18
SG: P-1, No. 2